(1)
The following is a DFT calculation (GGA-PBE) of a relaxed structure of PmPr2Br8.

VASP energy = -4.16 eV/atom
Raw formation energy = -1644 meV per atom

abc: 5.9563 7.9899 7.9899
angles: 112.00 99.52 99.52
Last column: magnetic moment on the atom in μB.
Fractional positions:
Pm: 0.5000 0.0000 0.0000  0.38
Pr: 0.0000 0.3134 0.6866  0.13
Pr: 0.0000 0.6866 0.3134  0.13
Br: 0.9084 0.9289 0.6732  0.00
Br: 0.9084 0.6732 0.9289  0.00
Br: 0.3227 0.6401 0.6401  0.00
Br: 0.5000 0.7760 0.2240  0.00
Br: 0.5000 0.2240 0.7760  0.00
Br: 0.6773 0.3599 0.3599  0.00
Br: 0.0916 0.3268 0.0711  0.00
Br: 0.0916 0.0711 0.3268  0.00

(2)
The following is a DFT calculation (GGA-PBE) of a relaxed structure of MgRuCl.

VASP energy = -4.15 eV/atom
Raw formation energy = 93 meV per atom

abc: 6.1332 6.1332 6.1332
angles: 151.74 151.73 40.40
Last column: magnetic moment on the atom in μB.
Fractional positions:
Cl: 0.9919 0.9919 0.0000  0.04
Mg: 0.3342 0.3342 0.0000  -0.02
Ru: 0.6739 0.6739 0.0000  1.61

(3)
The following is a DFT calculation (GGA-PBE) of a relaxed structure of MgTlZn2.

VASP energy = -1.54 eV/atom
Formation energy from the elements = 0.09 eV per atom

abc: 5.7175 5.7175 5.7175
angles: 143.30 130.84 62.88
Fractional positions:
Mg: 0.5137 0.5137 0.0000
Tl: 0.2354 0.7354 0.5000
Zn: 0.9776 0.9776 0.0000
Zn: 0.7734 0.2734 0.5000

(4)
The following is a DFT calculation (GGA-PBE) of a relaxed structure of MgAlBi.

VASP energy = -2.95 eV/atom
Formation energy from the elements = 0.13 eV per atom

abc: 3.2842 5.1351 5.1351
angles: 120.00 90.00 90.00
Fractional positions:
Mg: 0.3402 0.3333 0.6667
Bi: 0.8382 0.6667 0.3333
Al: 0.8217 0.0000 0.0000

(5)
The following is a DFT calculation (GGA-PBE) of a relaxed structure of MgSnI2N.

VASP energy = -3.17 eV/atom
Raw formation energy = 237 meV per atom

abc: 5.9054 5.9054 4.0355
angles: 90.00 90.00 90.00
Last column: magnetic moment on the atom in μB.
Fractional positions:
I: 0.0000 0.5000 0.0000  0.05
I: 0.5000 0.0000 0.0000  0.05
Mg: 0.0000 0.0000 0.0000  -0.01
Sn: 0.5000 0.5000 0.5000  -0.07
N: 0.0000 0.0000 0.5000  0.96

(6)
The following is a DFT calculation (GGA-PBE) of a relaxed structure of Ho4Cd3Hg.

VASP energy = -2.97 eV/atom
Formation energy from the elements = -0.30 eV per atom

abc: 3.6385 4.8764 11.8573
angles: 90.00 90.00 90.00
Fractional positions:
Ho: 0.5000 0.5000 0.3393
Ho: 0.0000 0.5000 0.8435
Ho: 0.0000 0.0000 0.1561
Ho: 0.5000 0.0000 0.6595
Cd: 0.0000 0.5000 0.5739
Cd: 0.0000 0.0000 0.4252
Cd: 0.5000 0.0000 0.9244
Hg: 0.5000 0.5000 0.0780

(7)
The following is a DFT calculation (GGA-PBE) of a relaxed structure of NpAg2SnO6.

VASP energy = -6.73 eV/atom
Raw formation energy = -1495 meV per atom

abc: 4.1741 5.8238 5.8238
angles: 90.00 90.00 90.00
Last column: magnetic moment on the atom in μB.
Fractional positions:
Np: 0.6448 0.0000 0.0000  1.20
Ag: 0.1440 0.5000 0.0000  0.00
Ag: 0.1440 0.0000 0.5000  0.00
Sn: 0.6448 0.5000 0.5000  -0.01
O: 0.6449 0.2476 0.2476  -0.04
O: 0.6449 0.2476 0.7524  -0.04
O: 0.1449 0.5000 0.5000  -0.01
O: 0.1448 0.0000 0.0000  -0.05
O: 0.6449 0.7524 0.7524  -0.04
O: 0.6449 0.7524 0.2476  -0.04

(8)
The following is a DFT calculation (GGA-PBE) of a relaxed structure of CsYCd2Br8.

VASP energy = -3.21 eV/atom
Raw formation energy = -1336 meV per atom

abc: 7.0271 7.0639 10.5968
angles: 85.18 84.24 68.82
Fractional positions:
Cs: 0.0000 0.0000 0.5000
Y: 0.0000 0.0000 0.0000
Cd: 0.3742 0.3693 0.7916
Cd: 0.6258 0.6307 0.2084
Br: 0.2143 0.7314 0.1932
Br: 0.7581 0.7602 0.9882
Br: 0.7316 0.2208 0.1973
Br: 0.7857 0.2686 0.8068
Br: 0.2419 0.2398 0.0118
Br: 0.2684 0.7792 0.8027
Br: 0.6718 0.7051 0.4314
Br: 0.3282 0.2949 0.5686

(9)
The following is a DFT calculation (GGA-PBE) of a relaxed structure of CaLaTe2.

VASP energy = -3.93 eV/atom
Raw formation energy = -623 meV per atom

abc: 5.5454 5.5454 5.5454
angles: 60.00 60.00 60.00
Fractional positions:
Ca: 0.5000 0.5000 0.5000
Te: 0.0000 0.0000 0.0000
Te: 0.2500 0.2500 0.2500
La: 0.7500 0.7500 0.7500

(10)
The following is a DFT calculation (GGA-PBE) of a relaxed structure of ScCd2In.

VASP energy = -2.86 eV/atom
Formation energy from the elements = -0.13 eV per atom

abc: 3.3317 3.3317 8.3825
angles: 90.00 90.00 89.99
Last column: magnetic moment on the atom in μB.
Fractional positions:
Cd: 0.0000 0.0000 0.9887  0.01
Cd: 0.0000 0.0000 0.5113  0.01
In: 0.5000 0.5000 0.2500  0.01
Sc: 0.5000 0.5000 0.7500  0.38

(11)
The following is a DFT calculation (GGA-PBE) of a relaxed structure of Pu2TiPd6.

VASP energy = -8.02 eV/atom
Formation energy from the elements = -0.50 eV per atom

abc: 5.8873 5.7484 5.7484
angles: 60.00 89.99 89.99
Last column: magnetic moment on the atom in μB.
Fractional positions:
Pu: 0.8307 0.6667 0.6667  5.09
Pu: 0.1693 0.3333 0.3333  5.09
Ti: 0.0000 0.0000 0.0000  0.04
Pd: 0.3109 0.3452 0.8273  -0.02
Pd: 0.3110 0.8273 0.8273  -0.02
Pd: 0.3109 0.8273 0.3452  -0.02
Pd: 0.6891 0.6548 0.1727  -0.02
Pd: 0.6890 0.1727 0.1727  -0.02
Pd: 0.6891 0.1727 0.6548  -0.02

(12)
The following is a DFT calculation (GGA-PBE) of a relaxed structure of AlCdFeI2.

VASP energy = -2.68 eV/atom
Raw formation energy = 568 meV per atom

abc: 5.7972 4.9234 5.7972
angles: 90.00 90.00 90.00
Last column: magnetic moment on the atom in μB.
Fractional positions:
I: 0.0000 0.0000 0.5000  0.05
I: 0.5000 0.0000 0.0000  0.04
Al: 0.0000 0.0000 0.0000  -0.04
Fe: 0.0000 0.5000 0.0000  3.13
Cd: 0.5000 0.5000 0.5000  0.04

(13)
The following is a DFT calculation (GGA-PBE) of a relaxed structure of ZrB2I2.

VASP energy = -3.95 eV/atom
Raw formation energy = 1049 meV per atom

abc: 3.3228 3.3228 11.1331
angles: 81.42 81.42 90.00
Fractional positions:
I: 0.4151 0.4151 0.1698
I: 0.5849 0.5849 0.8302
B: 0.7500 0.2500 0.5000
B: 0.2500 0.7500 0.5000
Zr: 0.0000 0.0000 0.0000

(14)
The following is a DFT calculation (GGA-PBE) of a relaxed structure of NdCu3Pd3.

VASP energy = -3.86 eV/atom
Formation energy from the elements = 0.80 eV per atom

abc: 8.1240 8.1240 8.1239
angles: 60.00 60.00 60.00
Fractional positions:
Nd: 0.2500 0.2500 0.2500
Nd: 0.7500 0.7500 0.7500
Cu: 0.1432 0.8568 0.8568
Cu: 0.1432 0.8568 0.1432
Cu: 0.1432 0.1432 0.8568
Cu: 0.8568 0.1432 0.8568
Cu: 0.8568 0.1432 0.1432
Cu: 0.8568 0.8568 0.1432
Pd: 0.3392 0.6608 0.3392
Pd: 0.3392 0.6608 0.6608
Pd: 0.3392 0.3392 0.6608
Pd: 0.6608 0.3392 0.6608
Pd: 0.6608 0.3392 0.3392
Pd: 0.6608 0.6608 0.3392

(15)
The following is a DFT calculation (GGA-PBE) of a relaxed structure of Th8Ge3Te4Ir.

VASP energy = -6.94 eV/atom
Raw formation energy = -1027 meV per atom

abc: 8.7174 8.8886 8.7175
angles: 119.37 120.00 90.00
Fractional positions:
Th: 0.2310 0.7121 0.9812
Th: 0.2310 0.7122 0.4621
Th: 0.2603 0.2809 0.5206
Th: 0.7502 0.7121 0.9812
Th: 0.2498 0.2879 0.0188
Th: 0.7397 0.7191 0.4794
Th: 0.7690 0.2878 0.5379
Th: 0.7690 0.2879 0.0188
Ge: 0.5000 0.5000 0.0000
Ge: 0.5000 0.5000 0.5000
Ge: 0.0000 0.5000 0.5000
Te: 0.5000 0.0000 0.0000
Te: 0.5000 0.0000 0.5000
Te: 0.0000 0.0000 0.0000
Te: 0.0000 0.0000 0.5000
Ir: 0.0000 0.5000 0.0000

(16)
The following is a DFT calculation (GGA-PBE) of a relaxed structure of ReAs2Br.

VASP energy = -5.40 eV/atom
Raw formation energy = 456 meV per atom

abc: 9.4382 9.4382 9.4382
angles: 19.17 19.17 19.17
Fractional positions:
Re: 0.7409 0.7409 0.7409
As: 0.0124 0.0124 0.0124
As: 0.2656 0.2656 0.2656
Br: 0.4812 0.4812 0.4812

(17)
The following is a DFT calculation (GGA-PBE) of a relaxed structure of Zn3In5Ga12.

VASP energy = -2.54 eV/atom
Formation energy from the elements = 0.16 eV per atom

abc: 13.5557 13.5557 13.5557
angles: 109.47 109.47 109.47
Fractional positions:
Zn: 0.7500 0.3750 0.1250
Zn: 0.8750 0.7500 0.1250
Zn: 0.3750 0.7500 0.6250
Zn: 0.2500 0.1250 0.3750
Zn: 0.8750 0.1250 0.2500
Zn: 0.3750 0.6250 0.2500
Zn: 0.6250 0.3750 0.7500
Zn: 0.1250 0.8750 0.7500
Zn: 0.7500 0.8750 0.6250
Zn: 0.6250 0.2500 0.3750
Zn: 0.1250 0.2500 0.8750
Zn: 0.2500 0.6250 0.8750
In: 0.1250 0.3750 0.2500
In: 0.0000 0.5000 0.0000
In: 0.0000 0.0000 0.0000
In: 0.3750 0.2500 0.1250
In: 0.5000 0.0000 0.5000
In: 0.5000 0.5000 0.0000
In: 0.1250 0.7500 0.3750
In: 0.7500 0.1250 0.8750
In: 0.7500 0.6250 0.3750
In: 0.3750 0.1250 0.7500
In: 0.6250 0.8750 0.2500
In: 0.5000 0.5000 0.5000
In: 0.5000 0.0000 0.0000
In: 0.0000 0.0000 0.5000
In: 0.2500 0.3750 0.6250
In: 0.2500 0.8750 0.1250
In: 0.0000 0.5000 0.5000
In: 0.8750 0.2500 0.6250
In: 0.6250 0.7500 0.8750
In: 0.8750 0.6250 0.7500
Ga: 0.7436 0.1383 0.0770
Ga: 0.3334 0.5770 0.4387
Ga: 0.9230 0.3617 0.2564
Ga: 0.5770 0.2436 0.1383
Ga: 0.6052 0.7436 0.6666
Ga: 0.9230 0.5613 0.1666
Ga: 0.3334 0.7564 0.3948
Ga: 0.0613 0.8948 0.1383
Ga: 0.5613 0.9230 0.6666
Ga: 0.7436 0.6052 0.1666
Ga: 0.7564 0.4230 0.3617
Ga: 0.8334 0.9387 0.0770
Ga: 0.1383 0.7436 0.5770
Ga: 0.3617 0.4387 0.1052
Ga: 0.1052 0.9387 0.3617
Ga: 0.3948 0.1383 0.5613
Ga: 0.1052 0.1666 0.2436
Ga: 0.4230 0.6666 0.0613
Ga: 0.8334 0.8948 0.2564
Ga: 0.1383 0.3948 0.0613
Ga: 0.3617 0.9230 0.7564
Ga: 0.5613 0.6383 0.3948
Ga: 0.9387 0.8334 0.5770
Ga: 0.7564 0.3334 0.8948
Ga: 0.4387 0.3617 0.6052
Ga: 0.0613 0.1666 0.4230
Ga: 0.2436 0.6666 0.1052
Ga: 0.1666 0.1052 0.7436
Ga: 0.6383 0.0770 0.2436
Ga: 0.8617 0.6052 0.9387
Ga: 0.5770 0.3334 0.9387
Ga: 0.6052 0.8617 0.4387
Ga: 0.8948 0.8334 0.7564
Ga: 0.8948 0.0613 0.6383
Ga: 0.8617 0.2564 0.4230
Ga: 0.1666 0.0613 0.9230
Ga: 0.6383 0.5613 0.8948
Ga: 0.4387 0.0770 0.3334
Ga: 0.2564 0.3948 0.8334
Ga: 0.2436 0.5770 0.6383
Ga: 0.9387 0.1052 0.8617
Ga: 0.6666 0.2436 0.6052
Ga: 0.4230 0.7564 0.8617
Ga: 0.0770 0.4387 0.8334
Ga: 0.3948 0.2564 0.3334
Ga: 0.0770 0.6383 0.7436
Ga: 0.6666 0.4230 0.5613
Ga: 0.2564 0.8617 0.9230

(18)
The following is a DFT calculation (GGA-PBE) of a relaxed structure of LaTb7Ho2.

VASP energy = -4.63 eV/atom
Formation energy from the elements = 0.02 eV per atom

abc: 6.1897 9.4580 9.4593
angles: 141.82 109.07 77.44
Fractional positions:
La: 0.0000 0.0000 0.0000
Tb: 0.9992 0.6013 0.3982
Tb: 0.0008 0.3988 0.6018
Tb: 0.4997 0.6974 0.7988
Tb: 0.5003 0.3026 0.2012
Tb: 0.0020 0.7993 0.2011
Tb: 0.9980 0.2006 0.7989
Tb: 0.5000 0.5000 0.0000
Ho: 0.4974 0.9009 0.5990
Ho: 0.5026 0.0991 0.4011

(19)
The following is a DFT calculation (GGA-PBE) of a relaxed structure of CoTc3Rh.

VASP energy = -7.78 eV/atom
Formation energy from the elements = 1.33 eV per atom

abc: 4.3398 4.3398 4.3398
angles: 90.00 90.00 90.00
Fractional positions:
Co: 0.0000 0.0000 0.0000
Rh: 0.5000 0.5000 0.5000
Tc: 0.0000 0.5000 0.0000
Tc: 0.0000 0.0000 0.5000
Tc: 0.5000 0.0000 0.0000

(20)
The following is a DFT calculation (GGA-PBE) of a relaxed structure of NaAs2F.

VASP energy = -3.21 eV/atom
Raw formation energy = -85 meV per atom

abc: 4.6263 4.6263 4.6263
angles: 60.00 60.00 60.00
Fractional positions:
Na: 0.5000 0.5000 0.5000
As: 0.2500 0.2500 0.2500
As: 0.7500 0.7500 0.7500
F: 0.0000 0.0000 0.0000